Record 1
# SmBi3O6 | Alexandria | PBE-GGA | optimized geometry
# Polymorph energy (0 for the lowest one) (meV/atom): 0.0
# Formation energy from raw total energies (meV per atom): -1743
# DOS at the Fermi energy (states/eV per atom): 0.00
data_SmBi3O6
_chemical_formula_sum 'Sm3 Bi9 O18'
_cell_length_a 6.2151
_cell_length_b 6.2151
_cell_length_c 15.0961
_cell_angle_alpha 90.00
_cell_angle_beta 90.00
_cell_angle_gamma 120.00
_space_group_name_H-M_alt 'R 3'
_space_group_IT_number 146
_space_group_name_Hall 'R 3'
loop_
_atom_site_label
_atom_site_fract_x
_atom_site_fract_y
_atom_site_fract_z
Sm1 0.0000 0.0000 0.0000
Bi1 0.0000 0.0000 0.2179
Bi2 0.0000 0.0000 0.5046
Bi3 0.0000 0.0000 0.7220
O1 0.0304 0.2839 0.6129
O2 0.0673 0.6707 0.7833



Record 2
# InCoCu2 | Alexandria | PBE-GGA | optimized geometry
# DOS at the Fermi energy (states/eV per atom): 0.68
# Energy of formation (meV per atom): 141
data_InCoCu2
_chemical_formula_sum 'In2 Co2 Cu4'
_cell_length_a 3.927
_cell_length_b 3.927
_cell_length_c 7.133
_cell_angle_alpha 90.00
_cell_angle_beta 90.00
_cell_angle_gamma 90.00
_space_group_name_H-M_alt 'I -4 m 2'
_space_group_IT_number 119
_space_group_name_Hall 'I -4 -2'
loop_
_atom_site_label
_atom_site_fract_x
_atom_site_fract_y
_atom_site_fract_z
In1 0.000 0.000 0.000
Co1 0.000 0.500 0.250
Cu1 0.000 0.000 0.500
Cu2 0.000 0.500 0.750



Record 3
# Nd13Dy2 | Alexandria | PBE-GGA | optimized geometry
# Polymorph energy (0 for the lowest one) (meV/atom): 85.0
# DOS at the Fermi energy (states/eV per atom): 1.45
# Energy of formation (meV per atom): 140
data_Nd13Dy2
_chemical_formula_sum 'Nd39 Dy6'
_cell_length_a 7.2260
_cell_length_b 7.2260
_cell_length_c 35.4405
_cell_angle_alpha 90.00
_cell_angle_beta 90.00
_cell_angle_gamma 120.00
_space_group_name_H-M_alt 'R -3 m'
_space_group_IT_number 166
_space_group_name_Hall '-R 3 2"'
loop_
_atom_site_label
_atom_site_fract_x
_atom_site_fract_y
_atom_site_fract_z
Nd1 0.0000 0.0000 0.0000
Nd2 0.0028 0.5014 0.7904
Nd3 0.0026 0.5013 0.9549
Dy1 0.0000 0.0000 0.2062



Record 4
# HoThCoPt | Alexandria | PBE-GGA | optimized geometry
# Polymorph energy (0 for the lowest one) (meV/atom): 0.0
# DOS at the Fermi energy (states/eV per atom): 0.82
# Energy of formation (meV per atom): -790
data_HoThCoPt
_chemical_formula_sum 'Ho2 Th2 Co2 Pt2'
_cell_length_a 4.052
_cell_length_b 3.792
_cell_length_c 11.244
_cell_angle_alpha 90.00
_cell_angle_beta 90.00
_cell_angle_gamma 90.00
_space_group_name_H-M_alt 'A m m 2'
_space_group_IT_number 38
_space_group_name_Hall 'A 2 -2'
loop_
_atom_site_label
_atom_site_fract_x
_atom_site_fract_y
_atom_site_fract_z
Ho1 0.000 0.000 0.000
Th1 0.500 0.000 0.280
Co1 0.000 0.000 0.743
Pt1 0.500 0.000 0.562



Record 5
# RbGa2Au2 | Alexandria | PBE-GGA | optimized geometry
# Polymorph energy (0 for the lowest one) (meV/atom): 190.5
# DOS at the Fermi energy (states/eV per atom): 0.34
# Energy of formation (meV per atom): -96
data_RbGa2Au2
_chemical_formula_sum 'Rb2 Ga4 Au4'
_cell_length_a 8.496
_cell_length_b 8.496
_cell_length_c 3.112
_cell_angle_alpha 90.00
_cell_angle_beta 90.00
_cell_angle_gamma 90.00
_space_group_name_H-M_alt 'P 4/m b m'
_space_group_IT_number 127
_space_group_name_Hall '-P 4 2ab'
loop_
_atom_site_label
_atom_site_fract_x
_atom_site_fract_y
_atom_site_fract_z
Rb1 0.000 0.000 0.000
Ga1 0.123 0.377 0.000
Au1 0.167 0.667 0.500



Record 6
# TcPd3N | Alexandria | PBE-GGA | optimized geometry
# Polymorph energy (0 for the lowest one) (meV/atom): 0.0
# Formation energy from raw total energies (meV per atom): 651
# DOS at the Fermi energy (states/eV per atom): 0.80
data_TcPd3N
_chemical_formula_sum 'Tc1 Pd3 N1'
_cell_length_a 4.188
_cell_length_b 4.188
_cell_length_c 4.188
_cell_angle_alpha 90.00
_cell_angle_beta 90.00
_cell_angle_gamma 90.00
_space_group_name_H-M_alt 'P m -3 m'
_space_group_IT_number 221
_space_group_name_Hall '-P 4 2 3'
loop_
_atom_site_label
_atom_site_fract_x
_atom_site_fract_y
_atom_site_fract_z
Tc1 0.000 0.000 0.000
Pd1 0.000 0.500 0.500
N1 0.500 0.500 0.500



Record 7
# Na2PbI | Alexandria | PBE-GGA | optimized geometry
# Polymorph energy (0 for the lowest one) (meV/atom): 114.3
# Formation energy from raw total energies (meV per atom): -401
# DOS at the Fermi energy (states/eV per atom): 0.50
data_Na2PbI
_chemical_formula_sum 'Na6 Pb3 I3'
_cell_length_a 4.0208
_cell_length_b 4.0208
_cell_length_c 31.3076
_cell_angle_alpha 90.00
_cell_angle_beta 90.00
_cell_angle_gamma 120.00
_space_group_name_H-M_alt 'R -3 m'
_space_group_IT_number 166
_space_group_name_Hall '-R 3 2"'
loop_
_atom_site_label
_atom_site_fract_x
_atom_site_fract_y
_atom_site_fract_z
Na1 0.0000 0.0000 0.0997
Pb1 0.0000 0.0000 0.0000
I1 0.0000 0.0000 0.5000



Record 8
# Sr4AgSnO | Alexandria | PBE-GGA | optimized geometry
# Formation energy from raw total energies (meV per atom): -1042
# DOS at the Fermi energy (states/eV per atom): 0.64
data_Sr4AgSnO
_chemical_formula_sum 'Sr16 Ag4 Sn4 O4'
_cell_length_a 7.102
_cell_length_b 18.230
_cell_length_c 6.978
_cell_angle_alpha 90.00
_cell_angle_beta 90.00
_cell_angle_gamma 90.00
_space_group_name_H-M_alt 'C m c m'
_space_group_IT_number 63
_space_group_name_Hall '-C 2c 2'
loop_
_atom_site_label
_atom_site_fract_x
_atom_site_fract_y
_atom_site_fract_z
Sr1 0.000 0.065 0.250
Sr2 0.000 0.412 0.250
Sr3 0.250 0.250 0.000
Ag1 0.000 0.386 0.750
Sn1 0.000 0.116 0.750
O1 0.000 0.274 0.250